[1]
Below is a relaxed TbDy5Bi6 crystal, with properties calculated at the PBE level.

```
12
Lattice="3.8770 -6.7138 0.0000 3.8770 6.7138 0.0000 -2.5849 0.0000 7.3079" Properties=species:S:1:pos:R:3 pbc="T T T"
Tb 0.0000 0.0000 0.0000
Dy 2.5845 4.4817 3.6540
Dy 3.8770 2.2409 0.0000
Dy 2.5845 0.0000 3.6540
Dy 3.8770 -2.2409 0.0000
Dy 2.5845 -4.4817 3.6540
Bi 1.2954 2.2424 1.8312
Bi 0.0058 0.0000 5.4808
Bi 1.2954 -2.2424 1.8312
Bi 3.8736 2.2424 5.4768
Bi 5.1632 0.0000 1.8271
Bi 3.8736 -2.2424 5.4768
```

Values from the calculation:
- formation energy (eV per atom) = -0.86
- space-group type = C2/m

=====

[2]
Below is a relaxed KS6I2 crystal, with properties calculated at the PBE level.

```
9
Lattice="4.3115 -3.4596 0.0000 4.3115 3.4596 0.0000 -1.6133 0.0000 10.8708" Properties=species:S:1:pos:R:3 pbc="T T T"
K 0.0000 0.0000 0.0000
S 0.3740 0.0000 3.8881
S 3.4912 1.8412 4.4063
S 3.5185 1.8412 6.4645
S 3.4912 -1.8412 4.4063
S 3.5185 -1.8412 6.4645
S 6.6357 0.0000 6.9827
I 1.7483 0.0000 9.5524
I 5.2614 0.0000 1.3185
```

Values from the calculation:
- formation energy without anion corrections (eV per atom) = -0.212
- space-group type = C2/m

=====

[3]
Below is a relaxed Sb2IrOs crystal, with properties calculated at the PBE level.

```
4
Lattice="3.3588 0.0000 0.0000 0.0000 4.0429 0.0000 0.0000 0.0000 5.4907" Properties=species:S:1:pos:R:3 pbc="T T T"
Sb 0.0000 0.0000 0.0000
Sb 1.6794 2.0214 2.0226
Ir 0.0000 0.0000 2.7635
Os 1.6794 2.0214 4.7279
```

Values from the calculation:
- excess energy over the best structure of this formula in the dataset (meV per atom) = 69
- formation energy without anion corrections (eV per atom) = 0.303
- space-group type = Pmm2

=====

[4]
Below is a relaxed Y2PaCu crystal, with properties calculated at the PBE level.

```
4
Lattice="1.6348 0.9439 10.9680 -1.6348 0.9439 10.9680 0.0000 -1.8877 10.9680" Properties=species:S:1:pos:R:3 pbc="T T T"
Y 0.0000 0.0000 3.2546
Y 0.0000 0.0000 29.6493
Pa 0.0000 0.0000 0.0000
Cu 0.0000 0.0000 16.4519
```

Values from the calculation:
- formation energy (eV per atom) = 0.35
- excess energy over the best structure of this formula in the dataset (meV per atom) = 315
- space-group type = R-3m

=====

[5]
Below is a relaxed FeHg2As crystal, with properties calculated at the PBE level.

```
4
Lattice="5.1143 0.0000 0.0000 0.0000 5.1143 0.0000 0.0000 0.0000 3.0245" Properties=species:S:1:pos:R:3 pbc="T T T"
Fe 0.0000 0.0000 0.0000
Hg 0.0000 2.5572 1.5123
Hg 2.5572 0.0000 1.5123
As 2.5572 2.5572 0.0000
```

Values from the calculation:
- formation energy (eV per atom) = 0.59
- space-group type = P4/mmm

=====

[6]
Below is a relaxed KRbBa2 crystal, with properties calculated at the PBE level.

```
8
Lattice="-5.8096 5.8096 4.3877 5.8096 -5.8096 4.3877 5.8096 5.8096 -4.3877" Properties=species:S:1:pos:R:3 pbc="T T T"
K 0.0000 0.0000 0.0000
K 0.0000 5.8096 2.1939
Rb 5.8096 0.0000 2.1939
Rb 0.0000 0.0000 4.3877
Ba 8.7144 2.8333 -1.0969
Ba 2.8333 2.9048 1.0969
Ba -2.9048 2.9763 3.2908
Ba 2.9763 2.9048 5.4846
```

Values from the calculation:
- formation energy (eV per atom) = 0.29
- excess energy over the best structure of this formula in the dataset (meV per atom) = 188
- space-group type = I-42d

=====

[7]
Below is a relaxed LiAcInHg crystal, with properties calculated at the PBE level.

```
4
Lattice="0.0000 3.7630 3.7630 3.7630 0.0000 3.7630 3.7630 3.7630 0.0000" Properties=species:S:1:pos:R:3 pbc="T T T"
Li 0.0000 0.0000 0.0000
Ac 5.6446 5.6446 5.6446
In 1.8815 1.8815 1.8815
Hg 3.7630 3.7630 3.7630
```

Values from the calculation:
- formation energy (eV per atom) = -0.34
- space-group type = F-43m

=====

[8]
Below is a relaxed HfNpOs2 crystal, with properties calculated at the PBE level.

```
4
Lattice="3.2023 0.0000 0.0000 0.0000 3.2023 0.0000 0.0000 0.0000 7.0881" Properties=species:S:1:pos:R:3 pbc="T T T"
Hf 0.0000 0.0000 0.0000
Np 0.0000 0.0000 3.5440
Os 1.6011 1.6011 1.6573
Os 1.6011 1.6011 5.4308
```

Values from the calculation:
- formation energy (eV per atom) = -0.21
- excess energy over the best structure of this formula in the dataset (meV per atom) = 0
- space-group type = P4/mmm

=====

[9]
Below is a relaxed LaPaPb2Se6 crystal, with properties calculated at the PBE level.

```
10
Lattice="3.7902 2.1883 6.5765 -3.7902 2.1883 6.5765 0.0000 -4.3765 6.5765" Properties=species:S:1:pos:R:3 pbc="T T T"
La 0.0000 0.0000 0.0000
Pa 0.0000 0.0000 9.7861
Pb 0.0000 0.0000 5.8701
Pb 0.0000 0.0000 15.8177
Se -2.1897 0.1462 8.0467
Se -1.4434 -1.8584 11.2660
Se 0.9682 -1.9694 8.0467
Se -0.8878 2.1793 11.2660
Se 1.2214 1.8232 8.0467
Se 2.3312 -0.3208 11.2660
```

Values from the calculation:
- formation energy without anion corrections (eV per atom) = -1.167
- space-group type = R3

=====

[10]
Below is a relaxed Ba2NaUS4 crystal, with properties calculated at the PBE level.

```
8
Lattice="7.3958 0.0000 0.0000 0.0000 4.2670 0.0000 -2.4181 0.0000 7.0459" Properties=species:S:1:pos:R:3 pbc="T T T"
Ba 0.0000 0.0000 0.0000
Ba 3.6979 2.1335 0.0000
Na -1.2090 2.1335 3.5230
U 2.4888 0.0000 3.5230
S 0.1870 0.0000 5.0630
S 1.3382 2.1335 2.0146
S 3.6395 2.1335 5.0314
S 4.7906 0.0000 1.9829
```

Values from the calculation:
- formation energy without anion corrections (eV per atom) = -1.619
- space-group type = P2/m

=====

[11]
Below is a relaxed Tb2SmPa crystal, with properties calculated at the PBE level.

```
4
Lattice="1.6743 0.9667 12.3324 -1.6743 0.9667 12.3324 0.0000 -1.9334 12.3324" Properties=species:S:1:pos:R:3 pbc="T T T"
Tb 0.0000 0.0000 3.2068
Tb 0.0000 0.0000 33.7903
Sm 0.0000 0.0000 18.4986
Pa 0.0000 0.0000 0.0000
```

Values from the calculation:
- formation energy (eV per atom) = 0.30
- excess energy over the best structure of this formula in the dataset (meV per atom) = 167
- space-group type = R-3m

=====

[12]
Below is a relaxed TaTe2H crystal, with properties calculated at the PBE level.

```
4
Lattice="1.7966 1.0373 7.0544 -1.7966 1.0373 7.0544 0.0000 -2.0745 7.0544" Properties=species:S:1:pos:R:3 pbc="T T T"
Ta 0.0000 0.0000 0.0000
Te 0.0000 0.0000 5.1665
Te 0.0000 0.0000 15.9965
H 0.0000 0.0000 10.5815
```

Values from the calculation:
- excess energy over the best structure of this formula in the dataset (meV per atom) = 528
- space-group type = R-3m

=====

[13]
Below is a relaxed BaRuClO4 crystal, with properties calculated at the PBE level.

```
14
Lattice="5.5645 -4.1531 0.0000 5.5645 4.1531 0.0000 -1.7449 0.0000 7.3753" Properties=species:S:1:pos:R:3 pbc="T T T"
Ba 2.1016 0.0000 0.9923
Ba 7.2825 0.0000 6.3829
Ru 2.8065 0.0000 5.4865
Ru 6.5776 0.0000 1.8887
Cl -0.9478 0.0000 5.6483
Cl 10.3319 0.0000 1.7270
O 2.1100 1.4007 6.2996
O 2.4446 0.0000 3.7846
O 4.8527 0.0000 1.6382
O 2.1100 -1.4007 6.2996
O 7.2741 1.4007 1.0757
O 4.5314 0.0000 5.7370
O 6.9395 0.0000 3.5906
O 7.2741 -1.4007 1.0757
```

Values from the calculation:
- formation energy without anion corrections (eV per atom) = -1.434
- space-group type = C2/m

=====

[14]
Below is a relaxed ZrVNi crystal, with properties calculated at the PBE level.

```
6
Lattice="-2.4436 2.5718 3.6847 2.4436 -2.5718 3.6847 2.4436 2.5718 -3.6847" Properties=species:S:1:pos:R:3 pbc="T T T"
Zr 0.0000 1.2859 0.8967
Zr 2.4436 1.2859 2.7881
V 1.2218 1.2859 -1.8424
V 1.2218 -1.2859 1.8424
Ni 2.4436 0.0000 0.0000
Ni 0.0000 0.0000 3.6847
```

Values from the calculation:
- formation energy (eV per atom) = -0.21
- excess energy over the best structure of this formula in the dataset (meV per atom) = 29
- space-group type = Imma

=====

[15]
Below is a relaxed NiPb2Br crystal, with properties calculated at the PBE level.

```
4
Lattice="1.9522 -2.9250 0.0000 1.9522 2.9250 0.0000 0.0000 0.0000 8.9443" Properties=species:S:1:pos:R:3 pbc="T T T"
Ni 0.0000 0.0000 0.0000
Pb 0.0000 0.0000 4.6020
Pb 1.9522 0.0000 1.7476
Br 1.9522 0.0000 7.3807
```

Values from the calculation:
- excess energy over the best structure of this formula in the dataset (meV per atom) = 177
- formation energy without anion corrections (eV per atom) = 0.084
- space-group type = Cmm2

=====

[16]
Below is a relaxed Li3Mg4Ni crystal, with properties calculated at the PBE level.

```
8
Lattice="3.2094 0.0000 0.0000 0.0000 3.2094 0.0000 0.0000 0.0000 14.2787" Properties=species:S:1:pos:R:3 pbc="T T T"
Li 0.0000 0.0000 0.0000
Li 0.0000 0.0000 3.8114
Li 0.0000 0.0000 10.4674
Mg 1.6047 1.6047 1.8842
Mg 1.6047 1.6047 5.7025
Mg 1.6047 1.6047 8.5762
Mg 1.6047 1.6047 12.3945
Ni 0.0000 0.0000 7.1394
```

Values from the calculation:
- formation energy (eV per atom) = -0.08
- space-group type = P4/mmm

=====

[17]
Below is a relaxed Tb3Al crystal, with properties calculated at the PBE level.

```
4
Lattice="-1.8725 2.6381 5.7102 1.8725 -2.6381 5.7102 1.8725 2.6381 -5.7102" Properties=species:S:1:pos:R:3 pbc="T T T"
Tb 0.0000 0.0000 0.0000
Tb 1.8725 0.0000 3.2513
Tb 0.0000 2.6381 2.4589
Al 0.0000 0.0000 5.7102
```

Values from the calculation:
- formation energy (eV per atom) = -0.18
- space-group type = Immm

=====

[18]
Below is a relaxed La5U2S12 crystal, with properties calculated at the PBE level.

```
19
Lattice="7.9048 -3.7886 0.0000 7.9048 3.7886 0.0000 -2.7832 0.0000 8.8155" Properties=species:S:1:pos:R:3 pbc="T T T"
La 0.0000 0.0000 0.0000
La 4.2980 0.0000 1.2078
La 3.0245 0.0000 5.9461
La 10.0019 0.0000 2.8694
La 8.7285 0.0000 7.6077
U 6.5132 1.8892 4.4077
U 6.5132 -1.8892 4.4077
S -0.8245 0.0000 2.7039
S 4.0386 1.7518 3.6372
S 2.9341 1.8814 8.2069
S 10.0923 1.8814 0.6086
S 8.9879 1.7518 5.1783
S 7.0592 0.0000 2.5846
S 5.9672 0.0000 6.2309
S 4.0386 -1.7518 3.6372
S 2.9341 -1.8814 8.2069
S 10.0923 -1.8814 0.6086
S 8.9879 -1.7518 5.1783
S 13.8509 0.0000 6.1116
```

Values from the calculation:
- formation energy without anion corrections (eV per atom) = -1.894
- space-group type = C2/m

=====

[19]
Below is a relaxed CsRbNa2Bi crystal, with properties calculated at the PBE level.

```
5
Lattice="6.3232 0.0000 0.0000 0.0000 6.3232 0.0000 0.0000 0.0000 7.2513" Properties=species:S:1:pos:R:3 pbc="T T T"
Cs 0.0000 0.0000 0.0000
Rb 3.1616 3.1616 0.0000
Na 0.0000 3.1616 3.6256
Na 3.1616 0.0000 3.6256
Bi 3.1616 3.1616 3.6256
```

Values from the calculation:
- formation energy (eV per atom) = -0.17
- space-group type = P4/mmm

=====

[20]
Below is a relaxed Pm2HgBi crystal, with properties calculated at the PBE level.

```
4
Lattice="2.2171 1.2800 7.6760 -2.2171 1.2800 7.6760 0.0000 -2.5601 7.6760" Properties=species:S:1:pos:R:3 pbc="T T T"
Pm 0.0000 0.0000 5.7270
Pm 0.0000 0.0000 17.3009
Hg 0.0000 0.0000 0.0000
Bi 0.0000 0.0000 11.5139
```

Values from the calculation:
- formation energy (eV per atom) = -0.58
- excess energy over the best structure of this formula in the dataset (meV per atom) = 57
- space-group type = R-3m